Entry 1:
Below is a relaxed structure of AlZn3P, with properties calculated at the PBEsol level.

a b c (Å): 4.6921 4.6921 4.6921
angles (deg): 90.00 90.00 90.00
Last column: nearest neighbours and their distance in Å.
Element x y z (fractional)
1 Al 0.0000 0.0000 0.0000  6 Zn 2.35
2 Zn 0.0000 0.0000 0.5000  2 Al 2.35
3 Zn 0.0000 0.5000 0.0000  2 Al 2.35
4 Zn 0.5000 0.0000 0.0000  2 Al 2.35
5 P 0.5000 0.5000 0.5000  12 Zn 3.32

Calculated values
polymorph energy (0 for the lowest one) = 398.2 meV/atom
formation energy = 0.8867 eV per atom

---

Entry 2:
Below is a relaxed structure of ZrAlP2, with properties calculated at the PBEsol level.

a b c (Å): 3.3803 3.3729 5.7469
angles (deg): 90.00 100.09 90.00
Last column: nearest neighbours and their distance in Å.
Element x y z (fractional)
1 Zr 0.0000 0.0000 0.0000  8 P 2.71-2.76, 2 Al 2.87
2 Al 0.0000 0.0000 0.5000  4 P 2.57, 2 Zr 2.87
3 P 0.4435 0.5000 0.7644  2 Al 2.57, 1 P 2.67, 4 Zr 2.71-2.76
4 P 0.5565 0.5000 0.2356  2 Al 2.57, 1 P 2.67, 4 Zr 2.71-2.76

Calculated values
formation energy = -0.6601 eV per atom

---

Entry 3:
Below is a relaxed structure of ZrAlP2, with properties calculated at the PBEsol level.

a b c (Å): 3.6172 3.6172 5.3318
angles (deg): 90.00 90.00 90.00
Last column: nearest neighbours and their distance in Å.
Element x y z (fractional)
1 Zr 0.0000 0.0000 0.0000  6 P 2.56-2.68
2 Al 0.5000 0.5000 0.5522  6 P 2.54-2.80
3 P 0.0000 0.0000 0.5030  4 Al 2.57, 2 Zr 2.65-2.68
4 P 0.5000 0.5000 0.0278  2 Al 2.54-2.80, 4 Zr 2.56

Calculated values
formation energy = -0.7859 eV per atom

---

Entry 4:
Below is a relaxed structure of Zr2AlP2, with properties calculated at the PBEsol level.

a b c (Å): 5.6202 5.6202 5.6202
angles (deg): 127.23 127.23 77.88
Last column: nearest neighbours and their distance in Å.
Element x y z (fractional)
1 Zr 0.1944 0.1944 0.0000  4 P 2.54, 1 Al 2.67
2 Zr 0.8056 0.8056 0.0000  4 P 2.54, 1 Al 2.67
3 Al 0.5000 0.5000 0.0000  2 Zr 2.67
4 P 0.2500 0.7500 0.5000  4 Zr 2.54
5 P 0.7500 0.2500 0.5000  4 Zr 2.54

Calculated values
formation energy = -0.3172 eV per atom